[1]
The following is a PBE-GGA calculation of NaMnH3 after structural relaxation, from Alexandria via LeMat-Bulk.

Cell: 3.5425 5.6597 6.5930 Å, 89.74 70.52 89.96°
Fractional positions:
H  0.0293  0.4680  0.3877
H  0.2721  0.4451  0.6541
H  0.7854  0.4474  0.1214
H  0.2736  0.0523  0.6542
H  0.7872  0.0542  0.1216
H  0.0301  0.0316  0.3880
Na  0.5300  0.7497  0.3880
Na  0.5302  0.2496  0.8877
Mn  0.2612  0.2494  0.4813
Mn  0.7985  0.2502  0.2941

Summary:
As for the crystal system: triclinic. As for the density of states at the Fermi level: 0.8 states/eV/f.u. Its space group is P-1, No. 2. The final energy comes out at -4.0991 eV/atom.

***

[2]
The following is a PBE-GGA calculation of NaMnH3 after structural relaxation, from Alexandria via LeMat-Bulk.

Cell: 3.2010 3.2010 10.5522 Å, 81.28 81.28 90.00°
Fractional positions:
H  0.2915  0.2915  0.4171
H  0.7085  0.7085  0.5829
H  0.6783  0.9347  0.1307
H  0.0653  0.8090  0.8693
H  0.0653  0.3217  0.8693
H  0.1910  0.9347  0.1307
Na  0.8711  0.3711  0.2578
Na  0.6289  0.1289  0.7422
Mn  0.2500  0.7500  0.5000
Mn  0.0000  0.0000  0.0000

Summary:
As for the crystal system: tetragonal. As for the density of states at the Fermi level: 0.8 states/eV/f.u. Its space group is I-4m2, No. 119. The final energy comes out at -3.8136 eV/atom.

***

The lowest final energy belongs to which entry? number 1

***

Which of these has the highest final energy? number 2

***

What is the formula in the second record? NaMnH3

***

What is the formula in the first record? NaMnH3